FeAgSnSe3 after structural relaxation. Source: the Open Quantum Materials Database, functional PBE.

Calculated values
electronic total energy	-4.442	eV/atom

a = 7.7227 Å, b = 7.7227 Å, c = 10.1373 Å
α = 90.00°, β = 90.00°, γ = 153.09°
With the nearest neighbours (Å) after each atom.
Fractional coordinates of all 12 atoms:
Fe1 0.0000 0.0000 0.0000  6 Se 2.45-2.57
Fe2 0.0000 0.0000 0.5000  6 Se 2.45-2.57
Ag1 0.3149 0.6851 0.7500  2 Se 2.60, 2 Sn 2.88
Ag2 0.6851 0.3149 0.2500  2 Se 2.60, 2 Sn 2.88
Sn1 0.3351 0.6649 0.2500  4 Se 2.74-2.85, 2 Ag 2.88
Sn2 0.6649 0.3351 0.7500  4 Se 2.74-2.85, 2 Ag 2.88
Se1 0.0271 0.9729 0.7500  2 Fe 2.57, 2 Sn 2.74
Se2 0.3897 0.6103 0.5191  2 Fe 2.45, 1 Ag 2.60
Se3 0.3897 0.6103 0.9809  2 Fe 2.45, 1 Ag 2.60
Se4 0.6103 0.3897 0.0191  2 Fe 2.45, 1 Ag 2.60
Se5 0.6103 0.3897 0.4809  2 Fe 2.45, 1 Ag 2.60
Se6 0.9729 0.0271 0.2500  2 Fe 2.57, 2 Sn 2.74